Record 1
The following is a GGA-PBE calculation of an optimized crystal structure of Zn2Ge2PN3, from the Open Quantum Materials Database.

Calculated values
Calculated density ... 5.40 Mg/m³
Calculated volume ... 13.41 Å³/atom
Calculated total energy ... -42.6 eV per cell
SG ... C2 (5)

abc: 5.672 5.672 4.882
angles: 114.11 114.11 49.91
Element x y z (fractional)
Zn 0.138 0.138 0.358
Zn 0.862 0.862 0.642
Ge 0.315 0.418 0.095
Ge 0.582 0.685 0.905
P 0.720 0.280 0.500
N 0.247 0.753 0.000
N 0.464 0.036 0.787
N 0.964 0.536 0.213

Record 2
The following is a GGA-PBE calculation of an optimized crystal structure of Pa3GeN6, from the Open Quantum Materials Database.

Calculated values
Calculated density ... 10.14 Mg/m³
Calculated volume ... 13.92 Å³/atom
Calculated total energy ... -191.8 eV per cell
SG ... Cmc2_1 (36)

abc: 7.250 7.250 5.432
angles: 90.00 90.00 102.84
Element x y z (fractional)
Pa 0.106 0.894 0.500
Pa 0.202 0.415 0.462
Pa 0.415 0.202 0.962
Pa 0.585 0.798 0.462
Pa 0.798 0.585 0.962
Pa 0.894 0.106 0.000
Ge 0.307 0.693 0.919
Ge 0.693 0.307 0.419
N 0.076 0.610 0.742
N 0.143 0.172 0.729
N 0.172 0.143 0.229
N 0.284 0.716 0.263
N 0.390 0.924 0.742
N 0.460 0.540 0.773
N 0.540 0.460 0.273
N 0.610 0.076 0.242
N 0.716 0.284 0.763
N 0.828 0.857 0.729
N 0.857 0.828 0.229
N 0.924 0.390 0.242

Record 3
The following is a GGA-PBE calculation of an optimized crystal structure of PaGeN, from the Open Quantum Materials Database.

Calculated values
Calculated density ... 10.20 Mg/m³
Calculated volume ... 17.24 Å³/atom
Calculated total energy ... -104.5 eV per cell
SG ... Pnma (62)

abc: 13.385 3.928 3.936
angles: 90.00 90.00 90.00
Element x y z (fractional)
Pa 0.161 0.250 0.001
Pa 0.339 0.750 0.501
Pa 0.661 0.250 0.499
Pa 0.839 0.750 0.999
Ge 0.055 0.750 0.501
Ge 0.445 0.250 0.001
Ge 0.555 0.750 0.999
Ge 0.945 0.250 0.499
N 0.247 0.250 0.501
N 0.253 0.750 0.001
N 0.747 0.250 0.999
N 0.753 0.750 0.499

Record 4
The following is a GGA-PBE calculation of an optimized crystal structure of GePbW4N2, from the Open Quantum Materials Database.

Calculated values
Calculated density ... 15.32 Mg/m³
Calculated volume ... 14.13 Å³/atom
Calculated total energy ... -72.8 eV per cell
SG ... P-6m2 (187)

abc: 3.054 3.054 13.991
angles: 90.00 90.00 120.00
Element x y z (fractional)
Ge 0.000 0.000 0.000
Pb 0.667 0.333 0.500
W 0.000 0.000 0.323
W 0.000 0.000 0.677
W 0.667 0.333 0.142
W 0.667 0.333 0.858
N 0.333 0.667 0.235
N 0.333 0.667 0.765

Repeat the second record exactly.
The following is a GGA-PBE calculation of an optimized crystal structure of Pa3GeN6, from the Open Quantum Materials Database.

Calculated values
Calculated density ... 10.14 Mg/m³
Calculated volume ... 13.92 Å³/atom
Calculated total energy ... -191.8 eV per cell
SG ... Cmc2_1 (36)

abc: 7.250 7.250 5.432
angles: 90.00 90.00 102.84
Element x y z (fractional)
Pa 0.106 0.894 0.500
Pa 0.202 0.415 0.462
Pa 0.415 0.202 0.962
Pa 0.585 0.798 0.462
Pa 0.798 0.585 0.962
Pa 0.894 0.106 0.000
Ge 0.307 0.693 0.919
Ge 0.693 0.307 0.419
N 0.076 0.610 0.742
N 0.143 0.172 0.729
N 0.172 0.143 0.229
N 0.284 0.716 0.263
N 0.390 0.924 0.742
N 0.460 0.540 0.773
N 0.540 0.460 0.273
N 0.610 0.076 0.242
N 0.716 0.284 0.763
N 0.828 0.857 0.729
N 0.857 0.828 0.229
N 0.924 0.390 0.242